1.
## LiBe (PBE)

Data for a relaxed structure of LiBe.

abc: 4.9309 4.9309 4.9309
angles: 150.33 127.88 61.13
Last column: nearest neighbours and their distance in Å.
Element x y z (fractional)
Be1 0.9742 0.9742 0.0000  2 Be 2.11
Be2 0.7758 0.2758 0.5000  2 Be 2.11
Li1 0.5170 0.5170 0.0000  4 Li 2.53-2.72, 6 Be 2.53
Li2 0.2330 0.7330 0.5000  4 Li 2.53-2.72, 6 Be 2.53

Summary:
For the calculated formation energy, the calculation gives 22.6 kJ per mole of atoms. As for the space group: Imma (74).



2.
## Ho2GeB2Ir5 (PBE)

Data for a relaxed structure of Ho2GeB2Ir5.

abc: 3.2558 9.4612 9.4612
angles: 90.00 90.00 90.00
Last column: nearest neighbours and their distance in Å.
Element x y z (fractional)
Ho1 0.0000 0.6765 0.1765  3 B 2.69-2.87, 10 Ir 2.87-3.01
Ho2 0.0000 0.3235 0.8235  3 B 2.69-2.87, 10 Ir 2.87-3.01
Ho3 0.0000 0.1765 0.3235  3 B 2.69-2.87, 10 Ir 2.87-3.01
Ho4 0.0000 0.8235 0.6765  3 B 2.69-2.87, 10 Ir 2.87-3.01
Ge1 0.0000 0.0000 0.0000  8 Ir 2.71
Ge2 0.0000 0.5000 0.5000  8 Ir 2.71
B1 0.0000 0.1222 0.6222  6 Ir 2.27-2.31
B2 0.0000 0.8778 0.3778  6 Ir 2.27-2.31
B3 0.0000 0.6222 0.8778  6 Ir 2.27-2.31
B4 0.0000 0.3778 0.1222  6 Ir 2.27-2.31
Ir1 0.5000 0.2186 0.0690  2 B 2.27
Ir2 0.5000 0.7814 0.9310  2 B 2.27
Ir3 0.5000 0.0690 0.7814  2 B 2.27
Ir4 0.5000 0.7186 0.4310  2 B 2.27
Ir5 0.5000 0.9310 0.2186  2 B 2.27
Ir6 0.5000 0.2814 0.5690  2 B 2.27
Ir7 0.5000 0.5690 0.7186  2 B 2.27
Ir8 0.5000 0.4310 0.2814  2 B 2.27
Ir9 0.5000 0.5000 0.0000  4 B 2.31
Ir10 0.5000 0.0000 0.5000  4 B 2.31

Summary:
For the calculated formation energy, the calculation gives -68.7 kJ per mole of atoms. As for the space group: P4/mbm (127).



3.
## Cs2Li2ErI6 (PBE)

Data for a relaxed structure of Cs2Li2ErI6.

abc: 8.6888 8.4382 8.7994
angles: 109.86 90.00 120.99
Last column: nearest neighbours and their distance in Å.
Element x y z (fractional)
Cs1 0.7002 0.4003 0.1777  7 I 3.85-4.24
Cs2 0.2998 0.5997 0.8223  7 I 3.85-4.24
Li1 0.9288 0.8577 0.7186  3 I 2.63-2.67
Li2 0.0712 0.1423 0.2814  3 I 2.63-2.67
Er1 0.5000 0.0000 0.5000  6 I 3.09-3.10
I1 0.7328 0.4657 0.6336  1 Li 2.63
I2 0.2148 0.9193 0.2261  1 Li 2.67
I3 0.2955 0.0807 0.7739  1 Li 2.67
I4 0.7852 0.0807 0.7739  1 Li 2.67
I5 0.7045 0.9193 0.2261  1 Li 2.67
I6 0.2672 0.5343 0.3664  1 Li 2.63

Summary:
Its total energy is -32.8 eV for the cell shown. As for the space group: C2/m (12).



4.
## ScIr2Ru (PBE)

Data for a relaxed structure of ScIr2Ru.

abc: 8.9831 8.9831 8.9831
angles: 18.28 18.28 18.28
Last column: nearest neighbours and their distance in Å.
Element x y z (fractional)
Ir1 0.9983 0.9983 0.9983  3 Ru 2.72, 3 Sc 2.79, 6 Ir 2.85
Ir2 0.5017 0.5017 0.5017  3 Ru 2.72, 3 Sc 2.79, 6 Ir 2.85
Ru1 0.2500 0.2500 0.2500  6 Ir 2.72, 6 Ru 2.85
Sc1 0.7500 0.7500 0.7500  6 Ir 2.79, 6 Sc 2.85

Summary:
For the calculated formation energy, the calculation gives -6.4 kJ per mole of atoms. As for the space group: R-3m (166).



5.
## MnZnIr2 (PBE)

Data for a relaxed structure of MnZnIr2.

abc: 2.7386 2.7386 8.6488
angles: 90.00 90.00 117.41
Last column: nearest neighbours and their distance in Å.
Element x y z (fractional)
Ir1 0.0000 0.0000 0.0064  2 Mn 2.54, 2 Zn 2.63, 6 Ir 2.74-2.85
Ir2 0.0000 0.0000 0.4936  2 Mn 2.54, 2 Zn 2.63, 6 Ir 2.74-2.85
Mn1 0.5000 0.5000 0.2500  4 Ir 2.54, 6 Mn 2.74-2.85
Zn1 0.5000 0.5000 0.7500  4 Ir 2.63, 6 Zn 2.74-2.85

Summary:
For the calculated formation energy, the calculation gives -2.9 kJ per mole of atoms. As for the space group: Cmmm (65).



6.
## CoNiBr2 (PBE)

Data for a relaxed structure of CoNiBr2.

abc: 7.2207 7.2207 7.2207
angles: 151.74 151.74 40.39
Last column: nearest neighbours and their distance in Å.
Element x y z (fractional)
Br1 0.0000 0.0000 0.0000  4 Co 2.49
Br2 0.2500 0.7500 0.5000  4 Ni 2.49
Co1 0.5000 0.5000 0.0000  4 Br 2.49
Ni1 0.7500 0.2500 0.5000  4 Br 2.49

Summary:
Its total energy is -14.4 eV for the cell shown. As for the space group: I-4m2 (119).



7.
## La4NdY3Te8 (PBE)

Data for a relaxed structure of La4NdY3Te8.

abc: 8.9756 8.9870 8.9753
angles: 119.96 120.00 90.00
Last column: nearest neighbours and their distance in Å.
Element x y z (fractional)
La1 0.5000 0.0000 0.0000  6 Te 3.20
La2 0.5000 0.0000 0.5000  6 Te 3.25
La3 0.0000 0.0000 0.0000  6 Te 3.25
La4 0.0000 0.0000 0.5000  6 Te 3.25
Nd1 0.0000 0.5000 0.0000  6 Te 3.16
Y1 0.5000 0.5000 0.0000  6 Te 3.11
Y2 0.5000 0.5000 0.5000  6 Te 3.11
Y3 0.0000 0.5000 0.5000  6 Te 3.11
Te1 0.2485 0.7375 0.9890  2 Y 3.11, 1 Nd 3.16, 3 La 3.20-3.25
Te2 0.2485 0.7376 0.4970  2 Y 3.11, 1 Nd 3.16, 3 La 3.20-3.25
Te3 0.2554 0.2662 0.5108  3 Y 3.11, 3 La 3.25
Te4 0.7406 0.7375 0.9890  2 Y 3.11, 1 Nd 3.16, 3 La 3.20-3.25
Te5 0.2594 0.2625 0.0110  2 Y 3.11, 1 Nd 3.16, 3 La 3.20-3.25
Te6 0.7446 0.7338 0.4892  3 Y 3.11, 3 La 3.25
Te7 0.7515 0.2624 0.5030  2 Y 3.11, 1 Nd 3.16, 3 La 3.20-3.25
Te8 0.7515 0.2625 0.0110  2 Y 3.11, 1 Nd 3.16, 3 La 3.20-3.25

Summary:
Its total energy is -92.5 eV for the cell shown. As for the space group: R-3m (166).



8.
## CsSc2Br (PBE)

Data for a relaxed structure of CsSc2Br.

abc: 12.2868 12.2868 12.2868
angles: 16.99 16.99 16.99
Last column: nearest neighbours and their distance in Å.
Element x y z (fractional)
Cs1 0.5000 0.5000 0.5000  6 Cs 3.63, 6 Sc 4.06
Sc1 0.9291 0.9291 0.9291  1 Br 2.58
Sc2 0.0709 0.0709 0.0709  1 Br 2.58
Br1 0.0000 0.0000 0.0000  2 Sc 2.58

Summary:
Its total energy is -14.6 eV for the cell shown. As for the space group: R-3m (166).



9.
## ZnTe2As (PBE)

Data for a relaxed structure of ZnTe2As.

abc: 4.1111 3.0967 8.5132
angles: 105.38 90.00 90.00
Last column: nearest neighbours and their distance in Å.
Element x y z (fractional)
As1 0.5000 0.7500 0.7500  4 Te 2.95, 2 As 3.10
Te1 0.0000 0.9327 0.0072  2 Zn 2.90, 2 As 2.95, 2 Te 3.10
Te2 0.0000 0.5673 0.4928  2 Zn 2.90, 2 As 2.95, 2 Te 3.10
Zn1 0.5000 0.2500 0.2500  4 Te 2.90, 2 Zn 3.10

Summary:
Its total energy is -11.9 eV for the cell shown. As for the space group: P2/m (10).



10.
## TlSn3Cl (PBE)

Data for a relaxed structure of TlSn3Cl.

abc: 5.4870 5.4870 5.4870
angles: 90.00 90.00 90.00
Last column: nearest neighbours and their distance in Å.
Element x y z (fractional)
Tl1 0.5000 0.5000 0.5000  12 Sn 3.88
Sn1 0.0000 0.5000 0.0000  2 Cl 2.74
Sn2 0.0000 0.0000 0.5000  2 Cl 2.74
Sn3 0.5000 0.0000 0.0000  2 Cl 2.74
Cl1 0.0000 0.0000 0.0000  6 Sn 2.74

Summary:
Its total energy is -14.8 eV for the cell shown. As for the space group: Pm-3m (221).



11.
## TbSm2Ho3As6 (PBE)

Data for a relaxed structure of TbSm2Ho3As6.

abc: 4.1464 8.2872 9.2659
angles: 102.89 102.93 90.00
Last column: nearest neighbours and their distance in Å.
Element x y z (fractional)
Tb1 0.5000 0.0000 0.0000  6 As 2.94
Sm1 0.8337 0.6674 0.6675  6 As 2.95-2.97
Sm2 0.1663 0.3326 0.3325  6 As 2.95-2.97
Ho1 0.5000 0.5000 0.0000  6 As 2.90-2.92
Ho2 0.8331 0.1664 0.6662  6 As 2.90-2.92
Ho3 0.1669 0.8336 0.3338  6 As 2.90-2.92
As1 0.3330 0.9215 0.6660  3 Ho 2.90-2.92, 1 Tb 2.94, 2 Sm 2.96
As2 0.6651 0.5872 0.3302  3 Ho 2.90, 3 Sm 2.96-2.97
As3 0.6670 0.0785 0.3340  3 Ho 2.90-2.92, 1 Tb 2.94, 2 Sm 2.96
As4 0.9982 0.2506 0.9964  3 Ho 2.90-2.92, 2 Tb 2.94, 1 Sm 2.95
As5 0.0018 0.7494 0.0036  3 Ho 2.90-2.92, 2 Tb 2.94, 1 Sm 2.95
As6 0.3349 0.4128 0.6698  3 Ho 2.90, 3 Sm 2.96-2.97

Summary:
For the calculated formation energy, the calculation gives -147.4 kJ per mole of atoms. As for the space group: C2/m (12).



12.
## Cd3CuAg4 (PBE)

Data for a relaxed structure of Cd3CuAg4.

abc: 4.2559 4.2559 8.6710
angles: 104.16 104.16 90.24
Last column: nearest neighbours and their distance in Å.
Element x y z (fractional)
Ag1 0.3805 0.3804 0.7611  6 Cd 2.88-3.02, 2 Cu 2.88, 4 Ag 3.00-3.02
Ag2 0.6195 0.6196 0.2389  6 Cd 2.88-3.02, 2 Cu 2.88, 4 Ag 3.00-3.02
Ag3 0.1195 0.1195 0.2389  6 Cd 2.88-3.02, 2 Cu 2.88, 4 Ag 3.00-3.02
Ag4 0.8805 0.8805 0.7611  6 Cd 2.88-3.02, 2 Cu 2.88, 4 Ag 3.00-3.02
Cu1 0.5000 0.0000 0.0000  8 Ag 2.88, 4 Cd 3.00-3.02
Cd1 0.0000 0.5000 0.0000  8 Ag 2.88, 4 Cu 3.00-3.02
Cd2 0.7487 0.2487 0.4973  8 Ag 2.99-3.02, 4 Cd 3.00-3.02
Cd3 0.2513 0.7513 0.5027  8 Ag 2.99-3.02, 4 Cd 3.00-3.02

Summary:
For the calculated formation energy, the calculation gives 0.3 kJ per mole of atoms. As for the space group: Fmmm (69).